[1]
SrTa2Zn (PBE-GGA, relaxed); energy relative to the elements = 0.899 eV/atom; calculated density = 10.0 Mg/m³; total moment = 0.000 μB/atom
1.0
5.9202 -0.0111 0.0000
-3.0300 5.0860 0.0000
0.0000 0.0000 2.8294
Zn Ta Sr
1 2 1
Direct
0.5000 0.0000 0.5000 Zn
0.5000 0.5000 0.0000 Ta
0.0000 0.0000 0.0000 Ta
0.0000 0.5000 0.5000 Sr



[2]
La2AgIr (PBE-GGA, relaxed); energy relative to the elements = -0.479 eV/atom; calculated density = 9.1 Mg/m³; total moment = 0.000 μB/atom
1.0
-2.6585 -1.0808 3.6141
2.0714 -3.5158 0.4723
4.5994 0.7969 3.6216
Ag La Ir
1 2 1
Direct
0.0000 0.7059 0.4639 Ag
0.5000 0.2722 0.3313 La
0.0000 0.9921 0.8913 La
0.5000 0.5299 0.8135 Ir



[3]
Na3U3SbS8 (PBE-GGA, relaxed); total energy = -92.45 eV per cell; calculated density = 5.2 Mg/m³; total moment = 0.533 μB/atom
1.0
-6.1566 3.1878 -3.9448
-0.8784 -2.2791 7.5937
4.4965 6.5883 -1.6935
S Sb U Na
8 1 3 3
Direct
0.7390 0.9816 0.7242 S
0.2426 0.9816 0.7242 S
0.2610 0.0184 0.2758 S
0.7433 0.4865 0.7298 S
0.7573 0.5147 0.2758 S
0.7574 0.0184 0.2758 S
0.2567 0.5135 0.2702 S
0.2427 0.4853 0.7242 S
0.0000 0.0000 0.5000 Sb
0.5000 0.5000 0.5000 U
0.0000 0.5000 0.5000 U
0.5000 0.0000 0.5000 U
0.5000 0.5000 0.0000 Na
0.0000 0.5000 0.0000 Na
0.0000 0.0000 0.0000 Na



Which of these has the highest total moment? Na3U3SbS8



Repeat the third record exactly.
Na3U3SbS8 (PBE-GGA, relaxed); total energy = -92.45 eV per cell; calculated density = 5.2 Mg/m³; total moment = 0.533 μB/atom
1.0
-6.1566 3.1878 -3.9448
-0.8784 -2.2791 7.5937
4.4965 6.5883 -1.6935
S Sb U Na
8 1 3 3
Direct
0.7390 0.9816 0.7242 S
0.2426 0.9816 0.7242 S
0.2610 0.0184 0.2758 S
0.7433 0.4865 0.7298 S
0.7573 0.5147 0.2758 S
0.7574 0.0184 0.2758 S
0.2567 0.5135 0.2702 S
0.2427 0.4853 0.7242 S
0.0000 0.0000 0.5000 Sb
0.5000 0.5000 0.5000 U
0.0000 0.5000 0.5000 U
0.5000 0.0000 0.5000 U
0.5000 0.5000 0.0000 Na
0.0000 0.5000 0.0000 Na
0.0000 0.0000 0.0000 Na



What is the total moment in the first record? 0.000 μB/atom